{"formula": "SiPbW2", "functional": "PBE-GGA", "state": "optimized geometry", "cell": [[2.888, 0.004, 0.000], [-0.901, 2.744, 0.000], [0.000, 0.000, 9.860]], "species": ["Pb", "Si", "W", "W"], "frac_coords": [[0.000, 0.000, 0.476], [0.500, 0.500, 0.805], [0.000, 0.000, 0.003], [0.500, 0.500, 0.216]], "polymorph_energy_mev_per_atom": 198.7, "n_ef_per_ev_cell": 2.26, "e_form_raw_ev_per_fu": 2.19, "final_energy_ev_per_cell": -32.9, "spacegroup": "Cmm2 (35)"}

***

{"formula": "AgHgPdI2", "functional": "PBE-GGA", "state": "optimized geometry", "cell": [[5.439, 0.000, 0.000], [0.000, 5.382, 0.000], [0.000, 0.000, 5.439]], "species": ["I", "I", "Pd", "Hg", "Ag"], "frac_coords": [[0.000, 0.000, 0.500], [0.500, 0.000, 0.000], [0.000, 0.000, 0.000], [0.500, 0.500, 0.500], [0.000, 0.500, 0.000]], "n_ef_per_ev_cell": 2.25, "e_form_raw_ev_per_fu": 0.62, "final_energy_ev_per_cell": -10.8, "spacegroup": "P4/mmm (123)"}

***

{"formula": "KNaCo2Cl8", "functional": "PBE-GGA", "state": "optimized geometry", "cell": [[-6.083, -2.376, -0.332], [-2.575, -1.598, -5.795], [0.442, -9.971, -1.137]], "species": ["K", "Na", "Co", "Co", "Cl", "Cl", "Cl", "Cl", "Cl", "Cl", "Cl", "Cl"], "frac_coords": [[0.500, 0.500, 0.500], [0.000, 0.000, 0.000], [0.248, 0.248, 0.256], [0.752, 0.752, 0.744], [0.170, 0.170, 0.490], [0.579, 0.293, 0.184], [0.830, 0.830, 0.510], [0.944, 0.579, 0.184], [0.056, 0.421, 0.816], [0.293, 0.944, 0.184], [0.707, 0.056, 0.816], [0.421, 0.707, 0.816]], "n_ef_per_ev_cell": 12.21, "e_form_raw_ev_per_fu": -11.67, "final_energy_ev_per_cell": -43.1, "spacegroup": "R-3 (148)"}

***

{"formula": "Fe2NiRu", "functional": "PBE-GGA", "state": "optimized geometry", "cell": [[3.555, 0.000, 0.000], [0.000, 2.578, 0.380], [0.000, 1.829, 5.489]], "species": ["Fe", "Fe", "Ni", "Ru"], "frac_coords": [[0.000, 0.005, 0.996], [0.500, 0.246, 0.254], [0.000, 0.509, 0.491], [0.500, 0.741, 0.760]], "ef_ev_per_atom": 0.11, "n_ef_per_ev_cell": 4.84, "final_energy_ev_per_cell": -31.6, "spacegroup": "Pmm2 (25)"}

***

{"formula": "HoErTl2S4", "functional": "PBE-GGA", "state": "optimized geometry", "cell": [[4.003, 0.000, 0.000], [0.000, 6.933, 0.121], [0.000, -2.440, 7.483]], "species": ["Ho", "Er", "Tl", "Tl", "S", "S", "S", "S"], "frac_coords": [[0.500, 0.500, 0.000], [0.000, 0.000, 0.000], [0.500, 0.000, 0.500], [0.000, 0.500, 0.500], [0.500, 0.231, 0.196], [0.500, 0.769, 0.804], [0.000, 0.267, 0.803], [0.000, 0.733, 0.197]], "n_ef_per_ev_cell": 0.00, "e_form_raw_ev_per_fu": -11.92, "final_energy_ev_per_cell": -42.3, "spacegroup": "P2/m (10)"}

***

{"formula": "LuPdPtAu", "functional": "PBE-GGA", "state": "optimized geometry", "cell": [[-0.871, 1.313, -4.403], [-0.326, -3.217, -3.378], [-4.149, -0.939, -1.942]], "species": ["Lu", "Au", "Pd", "Pt"], "frac_coords": [[0.000, 0.000, 0.000], [0.500, 0.500, 0.500], [0.250, 0.250, 0.250], [0.750, 0.750, 0.750]], "ef_ev_per_atom": -0.82, "n_ef_per_ev_cell": 0.93, "final_energy_ev_per_cell": -22.3, "spacegroup": "F-43m (216)"}

***

{"formula": "SrAc2Mg", "functional": "PBE-GGA", "state": "optimized geometry", "cell": [[-3.191, 5.209, 0.536], [-2.111, 1.752, 5.484], [2.481, 4.837, 2.838]], "species": ["Sr", "Ac", "Ac", "Mg"], "frac_coords": [[0.000, 0.000, 0.000], [0.250, 0.250, 0.250], [0.750, 0.750, 0.750], [0.500, 0.500, 0.500]], "polymorph_energy_mev_per_atom": 80.2, "ef_ev_per_atom": 0.09, "n_ef_per_ev_cell": 4.17, "final_energy_ev_per_cell": -11.2, "spacegroup": "Fm-3m (225)"}

***

{"formula": "Rb2UIr3O12", "functional": "PBE-GGA", "state": "optimized geometry", "cell": [[7.539, 0.192, 0.136], [3.890, 6.460, 0.136], [3.890, 2.264, 6.052]], "species": ["Rb", "Rb", "U", "Ir", "Ir", "Ir", "O", "O", "O", "O", "O", "O", "O", "O", "O", "O", "O", "O"], "frac_coords": [[0.617, 0.617, 0.617], [0.383, 0.383, 0.383], [0.000, 0.000, 0.000], [0.500, 0.000, 0.000], [0.000, 0.500, 0.000], [0.000, 0.000, 0.500], [0.312, 0.312, 0.921], [0.927, 0.927, 0.335], [0.335, 0.927, 0.927], [0.921, 0.312, 0.312], [0.927, 0.335, 0.927], [0.312, 0.921, 0.312], [0.688, 0.688, 0.079], [0.073, 0.073, 0.665], [0.665, 0.073, 0.073], [0.079, 0.688, 0.688], [0.073, 0.665, 0.073], [0.688, 0.079, 0.688]], "n_ef_per_ev_cell": 14.53, "e_form_raw_ev_per_fu": -26.12, "final_energy_ev_per_cell": -125.4, "spacegroup": "R-3m (166)"}

***

{"formula": "SnTeN2O", "functional": "PBE-GGA", "state": "optimized geometry", "cell": [[4.237, 0.000, 0.000], [0.000, 4.237, 0.000], [0.000, 0.000, 4.199]], "species": ["Te", "Sn", "O", "N", "N"], "frac_coords": [[0.000, 0.000, 0.500], [0.500, 0.500, 0.500], [0.000, 0.000, 0.000], [0.000, 0.500, 0.000], [0.500, 0.000, 0.000]], "n_ef_per_ev_cell": 2.49, "e_form_raw_ev_per_fu": 8.70, "final_energy_ev_per_cell": -20.1, "spacegroup": "P4/mmm (123)"}

***

{"formula": "Te4WI", "functional": "PBE-GGA", "state": "optimized geometry", "cell": [[6.049, 0.000, 0.617], [0.000, 8.247, 0.000], [-0.991, -4.123, 8.615]], "species": ["Te", "Te", "Te", "Te", "Te", "Te", "Te", "Te", "W", "W", "I", "I"], "frac_coords": [[0.239, 0.678, 0.356], [0.446, 0.200, 0.805], [0.000, 0.232, 0.000], [0.554, 0.396, 0.195], [0.761, 0.322, 0.644], [0.554, 0.800, 0.195], [0.000, 0.768, 0.000], [0.446, 0.604, 0.805], [0.252, 0.512, 0.024], [0.748, 0.488, 0.976], [0.869, 0.804, 0.609], [0.131, 0.196, 0.391]], "n_ef_per_ev_cell": 1.57, "e_form_raw_ev_per_fu": 0.36, "final_energy_ev_per_cell": -53.4, "spacegroup": "C2/m (12)"}

***

{"formula": "BC3", "functional": "PBE-GGA", "state": "optimized geometry", "cell": [[4.528, 0.040, -0.629], [-2.455, 3.720, -0.807], [0.107, -0.021, 4.396]], "species": ["B", "B", "B", "C", "C", "C", "C", "C", "C", "C", "C", "C"], "frac_coords": [[0.008, 0.707, 0.121], [0.509, 0.503, 0.514], [0.382, 0.659, 0.979], [0.172, 0.837, 0.502], [0.375, 0.361, 0.126], [0.170, 0.545, 0.632], [0.830, 0.169, 0.500], [0.726, 0.053, 0.130], [0.652, 0.316, 0.996], [0.539, 0.194, 0.630], [0.002, 0.015, 0.993], [0.884, 0.891, 0.626]], "polymorph_energy_mev_per_atom": 57.0, "ef_ev_per_atom": 0.30, "n_ef_per_ev_cell": 1.37, "final_energy_ev_per_cell": -99.5, "spacegroup": "P1 (1)"}

***

{"formula": "Cs2NaLaI6", "functional": "PBE-GGA", "state": "optimized geometry", "cell": [[-1.420, 5.509, 6.631], [-7.107, -4.947, 2.589], [7.465, -6.862, 7.381]], "species": ["Cs", "Cs", "Cs", "Cs", "Na", "Na", "La", "La", "I", "I", "I", "I", "I", "I", "I", "I", "I", "I", "I", "I"], "frac_coords": [[0.019, 0.939, 0.251], [0.519, 0.561, 0.751], [0.981, 0.061, 0.749], [0.481, 0.439, 0.249], [0.500, 0.000, 0.000], [0.000, 0.500, 0.500], [0.500, 0.000, 0.500], [0.000, 0.500, 0.000], [0.292, 0.703, 0.037], [0.792, 0.797, 0.537], [0.708, 0.297, 0.963], [0.208, 0.203, 0.463], [0.299, 0.711, 0.465], [0.799, 0.789, 0.965], [0.701, 0.289, 0.535], [0.201, 0.211, 0.035], [0.929, 0.509, 0.248], [0.429, 0.991, 0.748], [0.071, 0.491, 0.752], [0.571, 0.009, 0.252]], "polymorph_energy_mev_per_atom": 0.0, "n_ef_per_ev_cell": 0.00, "e_form_raw_ev_per_fu": -15.08, "final_energy_ev_per_cell": -64.7, "spacegroup": "P2_1/c (14)"}